Record 1
Density functional theory data (PBE) for a geometry-optimized IrRu2Cl structure.

Calculated values
Formation energy from raw total energies, eV per atom: 0.43
Polymorph energy (0 for the lowest one), kJ per mole of atoms: 3.0
Space-group type: R3m (160)
Theoretical density, g/cm³: 12.069
Final energy, Ry per atom: -0.506

a = 8.7247 Å, b = 8.7247 Å, c = 8.7247 Å
α = 18.62°, β = 18.62°, γ = 18.62°
Closest atoms and distances in Å follow each position.
Atoms (fractional coordinates):
Ir 0.7467 0.7467 0.7467  3 Ru 2.67, 6 Ir 2.82, 3 Cl 2.88
Ru 0.2496 0.2496 0.2496  3 Cl 2.56, 9 Ru 2.65-2.82
Ru 0.9977 0.9977 0.9977  9 Ru 2.65-2.82, 3 Ir 2.67
Cl 0.5059 0.5059 0.5059  3 Ru 2.56, 6 Cl 2.82

=====

Record 2
Density functional theory data (PBE) for a geometry-optimized La2HfAg structure.

Calculated values
Polymorph energy (0 for the lowest one), kJ per mole of atoms: 34.3
Space-group type: I-42d (122)
Theoretical density, g/cm³: 8.198
Final energy, Ry per atom: -0.389

a = 8.5296 Å, b = 8.5296 Å, c = 6.8005 Å
α = 51.16°, β = 51.16°, γ = 90.00°
Closest atoms and distances in Å follow each position.
Atoms (fractional coordinates):
La 0.8750 0.8558 0.7500  2 Ag 3.01, 2 La 3.16, 2 Hf 3.23
La 0.6058 0.1250 0.2500  2 Ag 3.01, 2 La 3.16, 2 Hf 3.23
La 0.3750 0.3942 0.7500  2 Ag 3.01, 2 La 3.16, 2 Hf 3.23
La 0.1442 0.6250 0.2500  2 Ag 3.01, 2 La 3.16, 2 Hf 3.23
Hf 0.7500 0.2500 0.5000  2 Ag 3.14, 4 La 3.23
Hf 0.0000 0.0000 0.0000  2 Ag 3.14, 4 La 3.23
Ag 0.2500 0.7500 0.5000  4 La 3.01, 2 Hf 3.14
Ag 0.5000 0.5000 0.0000  4 La 3.01, 2 Hf 3.14

=====

Record 3
Density functional theory data (PBE) for a geometry-optimized TbEr4Mg7 structure.

Calculated values
Space-group type: P-3m1 (164)
Theoretical density, g/cm³: 5.217
Final energy, Ry per atom: -0.210

a = 5.2829 Å, b = 5.2829 Å, c = 13.1449 Å
α = 90.00°, β = 90.00°, γ = 120.00°
Closest atoms and distances in Å follow each position.
Atoms (fractional coordinates):
Mg 0.3333 0.6667 0.1809  4 Mg 3.11-3.14, 4 Er 3.34-3.39
Mg 0.6667 0.3333 0.5826  1 Mg 3.11, 4 Er 3.22-3.23, 3 Tb 3.24
Mg 0.0000 0.0000 0.0000  2 Mg 3.12, 6 Er 3.21
Mg 0.3333 0.6667 0.4174  1 Mg 3.11, 4 Er 3.22-3.23, 3 Tb 3.24
Mg 0.6667 0.3333 0.8191  4 Mg 3.11-3.14, 4 Er 3.34-3.39
Mg 0.0000 0.0000 0.7627  4 Mg 3.12-3.14, 3 Er 3.32, 1 Tb 3.45
Mg 0.0000 0.0000 0.2373  4 Mg 3.12-3.14, 3 Er 3.32, 1 Tb 3.45
Er 0.3333 0.6667 0.6624  7 Mg 3.22-3.32, 1 Er 3.43
Er 0.6667 0.3333 0.0769  7 Mg 3.21-3.39, 1 Er 3.43
Er 0.3333 0.6667 0.9231  7 Mg 3.21-3.39, 1 Er 3.43
Er 0.6667 0.3333 0.3376  7 Mg 3.22-3.32, 1 Er 3.43
Tb 0.0000 0.0000 0.5000  8 Mg 3.24-3.45

=====

Record 4
Density functional theory data (PBE) for a geometry-optimized ScIn2Cu structure.

Calculated values
Space-group type: P4/mmm (123)
Theoretical density, g/cm³: 7.007
Final energy, Ry per atom: -0.309

a = 4.3628 Å, b = 4.3616 Å, c = 4.2114 Å
α = 90.00°, β = 90.00°, γ = 90.00°
Closest atoms and distances in Å follow each position.
Atoms (fractional coordinates):
In 0.0000 0.0000 0.0000  4 Cu 3.03, 4 Sc 3.03, 4 In 3.08
In 0.5000 0.5000 0.0000  4 Sc 3.03, 4 Cu 3.03, 4 In 3.08
Sc 0.5000 0.0000 0.5000  8 In 3.03, 4 Cu 3.08
Cu 0.0000 0.5000 0.5000  8 In 3.03, 4 Sc 3.08

=====

Record 5
Density functional theory data (PBE) for a geometry-optimized Zr2Tl2PdSe6 structure.

Calculated values
Formation energy from raw total energies, eV per atom: -0.84
Space-group type: C2/m (12)
Theoretical density, g/cm³: 6.425
Final energy, Ry per atom: -0.382

a = 6.6294 Å, b = 6.6294 Å, c = 8.1998 Å
α = 97.74°, β = 97.74°, γ = 119.36°
Closest atoms and distances in Å follow each position.
Atoms (fractional coordinates):
Se 0.5886 0.9170 0.2952  2 Zr 2.69-2.72, 1 Pd 2.76
Se 0.0830 0.4114 0.7048  2 Zr 2.69-2.72, 1 Pd 2.76
Se 0.4114 0.0830 0.7048  2 Zr 2.69-2.72, 1 Pd 2.76
Se 0.7408 0.7408 0.6802  1 Pd 2.56, 2 Zr 2.76
Se 0.9170 0.5886 0.2952  2 Zr 2.69-2.72, 1 Pd 2.76
Se 0.2592 0.2592 0.3198  1 Pd 2.56, 2 Zr 2.76
Zr 0.6771 0.3229 0.5000  6 Se 2.69-2.76
Zr 0.3229 0.6771 0.5000  6 Se 2.69-2.76
Tl 0.1657 0.8343 0.0000  6 Se 3.21-3.33
Tl 0.8343 0.1657 0.0000  6 Se 3.21-3.33
Pd 0.0000 0.0000 0.5000  6 Se 2.56-2.76

=====

Record 6
Density functional theory data (PBE) for a geometry-optimized BaHf2F structure.

Calculated values
Formation energy from raw total energies, eV per atom: -0.22
Polymorph energy (0 for the lowest one), kJ per mole of atoms: 0.0
Space-group type: I-42d (122)
Theoretical density, g/cm³: 7.484
Final energy, Ry per atom: -0.451

a = 6.8766 Å, b = 6.8766 Å, c = 6.8444 Å
α = 59.84°, β = 59.84°, γ = 90.00°
Closest atoms and distances in Å follow each position.
Atoms (fractional coordinates):
Hf 0.3281 0.1250 0.2500  2 F 2.12
Hf 0.8750 0.5781 0.7500  2 F 2.12
Hf 0.3750 0.6719 0.7500  2 F 2.12
Hf 0.4219 0.6250 0.2500  2 F 2.12
F 0.2500 0.7500 0.5000  4 Hf 2.12
F 0.5000 0.5000 0.0000  4 Hf 2.12
Ba 0.0000 0.0000 0.0000  8 Hf 3.76-4.01, 4 F 4.20, 4 Ba 4.20
Ba 0.7500 0.2500 0.5000  8 Hf 3.76-4.01, 4 F 4.20, 4 Ba 4.20

=====

Record 7
Density functional theory data (PBE) for a geometry-optimized V5Re6W structure.

Calculated values
Space-group type: Cmmm (65)
Theoretical density, g/cm³: 15.005
Final energy, Ry per atom: -0.838

a = 4.3276 Å, b = 6.1345 Å, c = 6.8371 Å
α = 90.00°, β = 71.55°, γ = 90.00°
Closest atoms and distances in Å follow each position.
Atoms (fractional coordinates):
V 0.3330 0.5000 0.3340  8 Re 2.62-2.64
V 0.3322 0.0000 0.3356  8 Re 2.63-2.68
V 0.6678 0.0000 0.6644  8 Re 2.63-2.68
V 0.6670 0.5000 0.6660  8 Re 2.62-2.64
V 0.0000 0.5000 0.0000  8 Re 2.64-2.66
Re 0.1681 0.7479 0.6637  7 V 2.62-2.66, 1 W 2.67
Re 0.5000 0.7456 0.0000  6 V 2.64-2.68, 2 W 2.67
Re 0.1682 0.2521 0.6637  7 V 2.62-2.66, 1 W 2.67
Re 0.8318 0.7479 0.3363  7 V 2.62-2.66, 1 W 2.67
Re 0.8319 0.2521 0.3363  7 V 2.62-2.66, 1 W 2.67
Re 0.5000 0.2544 0.0000  6 V 2.64-2.68, 2 W 2.67
W 0.0000 0.0000 0.0000  8 Re 2.67

=====

Record 8
Density functional theory data (PBE) for a geometry-optimized K2ZnW structure.

Calculated values
Space-group type: Pmm2 (25)
Theoretical density, g/cm³: 4.368
Final energy, Ry per atom: -0.235

a = 2.9001 Å, b = 4.1363 Å, c = 10.3766 Å
α = 90.00°, β = 90.00°, γ = 90.00°
Closest atoms and distances in Å follow each position.
Atoms (fractional coordinates):
K 0.5000 0.5000 0.3277  2 K 2.90
K 0.0000 0.0000 0.9146  2 K 2.90
Zn 0.5000 0.5000 0.6690  4 W 2.66, 2 Zn 2.90
W 0.0000 0.0000 0.5887  4 Zn 2.66, 2 W 2.90